## Rb3F5 (PBE-GGA)

Data for Rb3F5 after structural relaxation.

## Properties
ΔE_f (raw)	-2.0296	eV/atom
magnetization	2.02	μB per formula unit

a b c (Å): 5.145 17.432 14.568
angles (deg): 90.00 90.00 90.00
Space group Fdd2 (No. 43)
Symmetry-distinct sites (fractional):
Rb 0.000 0.000 0.000 [8 per cell]
Rb 0.017 0.333 0.990 [16 per cell]
F 0.000 0.000 0.591 [8 per cell]
F 0.045 0.354 0.387 [16 per cell]
F 0.065 0.307 0.606 [16 per cell]



## RbF (PBE-GGA)

Data for RbF after structural relaxation.

## Properties
ΔE_f (raw)	-2.5164	eV/atom
magnetization	0.09	μB per formula unit

a b c (Å): 10.877 10.877 4.319
angles (deg): 90.00 90.00 90.00
Space group P4/mmm (No. 123)
Symmetry-distinct sites (fractional):
Rb 0.000 0.343 0.000 [4 per cell]
Rb 0.302 0.302 0.500 [4 per cell]
F 0.145 0.500 0.500 [4 per cell]
F 0.208 0.208 0.000 [4 per cell]